Record 1
# TaInCoIr, optimized geometry, DFT PBE
data_TaInCoIr
_chemical_formula_sum 'Ta4 In4 Co4 Ir4'
_symmetry_space_group_name_H-M 'F -4 3 m'
_symmetry_Int_Tables_number 216
_symmetry_space_group_name_Hall 'F -4 2 3'
_cell_length_a 6.341
_cell_length_b 6.341
_cell_length_c 6.341
_cell_angle_alpha 90.00
_cell_angle_beta 90.00
_cell_angle_gamma 90.00
loop_
_atom_site_label
_atom_site_type_symbol
_atom_site_fract_x
_atom_site_fract_y
_atom_site_fract_z
Ta1 Ta 0.000 0.000 0.000
In1 In 0.250 0.250 0.250
Co1 Co 0.000 0.000 0.500
Ir1 Ir 0.250 0.250 0.750
# **Offset from the most stable computed form**: 0.3911 eV/atom
# **M_tot**: 7.71 μB per cell

---

Record 2
# Cs2ReS3, optimized geometry, DFT PBE
data_Cs2ReS3
_chemical_formula_sum 'Cs8 Re4 S12'
_symmetry_space_group_name_H-M 'C m c m'
_symmetry_Int_Tables_number 63
_symmetry_space_group_name_Hall '-C 2c 2'
_cell_length_a 12.147
_cell_length_b 9.193
_cell_length_c 6.633
_cell_angle_alpha 90.00
_cell_angle_beta 90.00
_cell_angle_gamma 90.00
loop_
_atom_site_label
_atom_site_type_symbol
_atom_site_fract_x
_atom_site_fract_y
_atom_site_fract_z
Cs1 Cs 0.161 0.170 0.250
Re1 Re 0.000 0.403 0.750
S1 S 0.000 0.159 0.750
S2 S 0.116 0.500 0.000
# **M_tot**: 0.01 μB per cell
# **Final energy**: -0.37893 Ry/atom

---

Record 3
# BiW, optimized geometry, DFT PBE
data_BiW
_chemical_formula_sum 'Bi4 W4'
_symmetry_space_group_name_H-M 'P m m a'
_symmetry_Int_Tables_number 51
_symmetry_space_group_name_Hall '-P 2a 2a'
_cell_length_a 5.422
_cell_length_b 4.546
_cell_length_c 8.057
_cell_angle_alpha 90.00
_cell_angle_beta 90.00
_cell_angle_gamma 90.00
loop_
_atom_site_label
_atom_site_type_symbol
_atom_site_fract_x
_atom_site_fract_y
_atom_site_fract_z
Bi1 Bi 0.250 0.000 0.160
Bi2 Bi 0.250 0.500 0.764
W1 W 0.000 0.000 0.500
W2 W 0.250 0.500 0.413
# **Offset from the most stable computed form**: 0.0000 eV/atom
# **M_tot**: 0.01 μB per cell

---

Record 4
# AlCuNiSn, optimized geometry, DFT PBE
data_AlCuNiSn
_chemical_formula_sum 'Al4 Cu4 Ni4 Sn4'
_symmetry_space_group_name_H-M 'F -4 3 m'
_symmetry_Int_Tables_number 216
_symmetry_space_group_name_Hall 'F -4 2 3'
_cell_length_a 6.262
_cell_length_b 6.262
_cell_length_c 6.262
_cell_angle_alpha 90.00
_cell_angle_beta 90.00
_cell_angle_gamma 90.00
loop_
_atom_site_label
_atom_site_type_symbol
_atom_site_fract_x
_atom_site_fract_y
_atom_site_fract_z
Al1 Al 0.000 0.000 0.000
Cu1 Cu 0.250 0.250 0.250
Ni1 Ni 0.000 0.000 0.500
Sn1 Sn 0.250 0.250 0.750
# **Offset from the most stable computed form**: 0.1936 eV/atom
# **M_tot**: 0.02 μB per cell

---

Record 5
# PrHg, optimized geometry, DFT PBE
data_PrHg
_chemical_formula_sum 'Pr4 Hg4'
_symmetry_space_group_name_H-M 'F -4 3 m'
_symmetry_Int_Tables_number 216
_symmetry_space_group_name_Hall 'F -4 2 3'
_cell_length_a 6.936
_cell_length_b 6.936
_cell_length_c 6.936
_cell_angle_alpha 90.00
_cell_angle_beta 90.00
_cell_angle_gamma 90.00
loop_
_atom_site_label
_atom_site_type_symbol
_atom_site_fract_x
_atom_site_fract_y
_atom_site_fract_z
Pr1 Pr 0.000 0.000 0.000
Hg1 Hg 0.250 0.250 0.250
# **M_tot**: 1.99 μB per cell
# **Final energy**: -0.16489 Ry/atom

---

Record 6
# Li4InGaAu2, optimized geometry, DFT PBE
data_Li4InGaAu2
_chemical_formula_sum 'Li4 In1 Ga1 Au2'
_symmetry_space_group_name_H-M 'P -4 m 2'
_symmetry_Int_Tables_number 115
_symmetry_space_group_name_Hall 'P -4 -2'
_cell_length_a 4.468
_cell_length_b 4.468
_cell_length_c 6.449
_cell_angle_alpha 90.00
_cell_angle_beta 90.00
_cell_angle_gamma 90.00
loop_
_atom_site_label
_atom_site_type_symbol
_atom_site_fract_x
_atom_site_fract_y
_atom_site_fract_z
Li1 Li 0.000 0.000 0.000
Li2 Li 0.000 0.500 0.730
Li3 Li 0.500 0.500 0.500
In1 In 0.500 0.500 0.000
Ga1 Ga 0.000 0.000 0.500
Au1 Au 0.000 0.500 0.271
# **Final energy**: -0.21961 Ry/atom

---

Record 7
# Cs2NaHgF6, optimized geometry, DFT PBE
data_Cs2NaHgF6
_chemical_formula_sum 'Cs6 Na3 Hg3 F18'
_symmetry_space_group_name_H-M 'R -3'
_symmetry_Int_Tables_number 148
_symmetry_space_group_name_Hall '-R 3'
_cell_length_a 6.1508
_cell_length_b 6.1508
_cell_length_c 15.0903
_cell_angle_alpha 90.00
_cell_angle_beta 90.00
_cell_angle_gamma 120.00
loop_
_atom_site_label
_atom_site_type_symbol
_atom_site_fract_x
_atom_site_fract_y
_atom_site_fract_z
Cs1 Cs 0.0000 0.0000 0.2500
Na1 Na 0.0000 0.0000 0.0000
Hg1 Hg 0.0000 0.0000 0.5000
F1 F 0.0002 0.4993 0.2502
# **Offset from the most stable computed form**: 0.0287 eV/atom

---

Record 8
# ScReNO, optimized geometry, DFT PBE
data_ScReNO
_chemical_formula_sum 'Sc4 Re4 N4 O4'
_symmetry_space_group_name_H-M 'P c a 21'
_symmetry_Int_Tables_number 29
_symmetry_space_group_name_Hall 'P 2c -2ac'
_cell_length_a 5.981
_cell_length_b 7.326
_cell_length_c 4.491
_cell_angle_alpha 90.00
_cell_angle_beta 90.00
_cell_angle_gamma 90.00
loop_
_atom_site_label
_atom_site_type_symbol
_atom_site_fract_x
_atom_site_fract_y
_atom_site_fract_z
Sc1 Sc 0.070 0.141 0.000
Re1 Re 0.147 0.671 0.998
N1 N 0.072 0.138 0.503
O1 O 0.036 0.422 0.078
# **Offset from the most stable computed form**: 0.4542 eV/atom
# **M_tot**: 0.00 μB per cell